! RbTl2Ni2F7 | Alexandria via LeMat-Bulk | PBE with a Hubbard U | optimized geometry; values from VASP
! Total DFT energy (no corrections) in Ry per atom: -0.3054
! Space group: C2/m, No. 12
! Total magnetization in μB per atom: 0.333
&SYSTEM
  ibrav = 0, nat = 12, ntyp = 4
/
ATOMIC_SPECIES
Rb 85.47 Rb.upf
Tl 204.38 Tl.upf
Ni 58.69 Ni.upf
F 19.00 F.upf
ATOMIC_POSITIONS crystal
Rb 0.000 0.000 0.000
Tl 0.814 0.814 0.371
Tl 0.186 0.186 0.629
Ni 0.593 0.593 0.815
Ni 0.407 0.407 0.185
F 0.500 0.500 0.000
F 0.317 0.317 0.363
F 0.683 0.683 0.637
F 0.907 0.407 0.185
F 0.407 0.907 0.185
F 0.593 0.093 0.815
F 0.093 0.593 0.815
CELL_PARAMETERS angstrom
-1.168 2.453 3.101
-0.415 -3.291 2.448
9.935 0.618 6.013